This record from the Alexandria database describes crystalline La4PrDy10 at its relaxed geometry. The functional is GGA-PBE.

## Properties
Calculated volume = 34.3 Å³/atom
E = -65.5 eV per formula unit

Cell and atoms, written as POSCAR:
```
La4PrDy10
1.0
9.8676 0.0000 4.4557
4.9338 6.8984 2.2278
2.0949 0.0000 8.5150
Dy La Pr
10 4 1
Cartesian
8.8518 2.2373 10.8671
5.5740 0.6370 4.9717
11.3223 6.2614 10.2268
11.1664 4.6611 5.7411
5.7299 2.2373 9.4574
10.9151 3.4492 8.7131
14.4441 6.2614 11.6364
8.0445 4.6611 4.3314
2.4522 0.6370 3.5621
5.9813 3.4492 6.4853
8.7383 1.8680 6.9567
4.1650 4.1542 3.9304
12.7313 2.7442 11.2681
8.1580 5.0303 8.2418
0.0000 0.0000 0.0000
```


This record from the Alexandria database describes crystalline LiInPb at its relaxed geometry. The functional is GGA-PBE.

## Properties
Calculated volume = 25.3 Å³/atom
E = -8.7 eV per formula unit

Cell and atoms, written as POSCAR:
```
LiInPb
1.0
0.9874 -3.7039 7.0009
-0.4604 -7.0153 3.7788
4.1674 -5.5949 3.8776
Pb In Li
2 2 2
Cartesian
1.3829 -4.8058 4.3178
3.3115 -11.5083 10.3396
4.0588 -14.1054 12.6729
0.6356 -2.2088 1.9845
2.6673 -9.2693 8.3280
2.0272 -7.0448 6.3294
```


This record from the Alexandria database describes crystalline BeCo2PN at its relaxed geometry. The functional is GGA-PBE.

## Properties
Calculated volume = 13.6 Å³/atom
Formation energy (no corrections) = 1.28 eV/atom
E = -25.3 eV per formula unit

Cell and atoms, written as POSCAR:
```
BeCo2PN
1.0
-2.6186 2.0724 -2.4899
1.1083 -2.2211 -3.0143
-3.0161 -2.7282 0.9013
P Co Be N
1 2 1 1
Cartesian
0.0000 0.0000 0.0000
-1.3093 1.0362 -1.2450
-1.5080 -1.3641 0.4506
0.5542 -1.1105 -1.5071
-2.2632 -1.4384 -2.3015
```


This record from the Alexandria database describes crystalline DyTm5Cd6 at its relaxed geometry. The functional is GGA-PBE.

## Properties
Calculated volume = 25.4 Å³/atom
E = -36.2 eV per formula unit

Cell and atoms, written as POSCAR:
```
DyTm5Cd6
1.0
-2.7563 3.4899 2.7459
-1.8730 -5.2921 4.8453
5.0021 3.4114 5.6594
Cd Tm Dy
6 5 1
Cartesian
-1.8489 0.4151 2.5907
2.3933 1.5180 5.4467
-1.0925 2.7125 5.4036
-2.0204 0.0911 7.8039
-2.7803 -2.2173 5.0005
1.4654 -1.1033 7.8469
1.4865 4.5980 5.5963
0.5724 1.9578 8.0340
-0.1995 -0.3487 5.2166
0.7594 2.3032 2.8089
-0.9365 -2.6461 2.4227
0.0000 0.0000 0.0000
```


This record from the Alexandria database describes crystalline Cu2NiHgH at its relaxed geometry. The functional is GGA-PBE.

## Properties
Calculated volume = 11.5 Å³/atom
E = -17.1 eV per formula unit

Cell and atoms, written as POSCAR:
```
Cu2NiHgH
1.0
3.9733 0.0000 0.0000
0.0000 3.9733 0.0000
0.0000 0.0000 3.6520
Cu Hg Ni H
2 1 1 1
Cartesian
0.0000 1.9866 0.0000
1.9866 0.0000 0.0000
1.9866 1.9866 1.8260
0.0000 0.0000 1.8260
0.0000 0.0000 0.0000
```


This record from the Alexandria database describes crystalline PmGd2Ni at its relaxed geometry. The functional is GGA-PBE.

## Properties
Calculated volume = 26.8 Å³/atom
E = -39.3 eV per formula unit
Excess energy over the best structure of this formula in the dataset = 0 meV per atom

Cell and atoms, written as POSCAR:
```
PmGd2Ni
1.0
-0.6980 -1.8966 2.8394
0.4583 -2.9239 -1.8404
8.5603 0.0122 2.1124
Ni Pm Gd
1 1 2
Cartesian
-0.1198 -2.4103 0.4995
4.1603 -2.4042 1.5557
6.9876 0.0100 1.7243
1.5727 0.0022 0.3881
```


This record from the Alexandria database describes crystalline NaTlInHg6 at its relaxed geometry. The functional is GGA-PBE.

## Properties
Calculated volume = 32.1 Å³/atom
E = -8.2 eV per formula unit

Cell and atoms, written as POSCAR:
```
NaTlInHg6
1.0
-4.2795 2.8725 2.2332
-3.8962 -2.6708 3.0395
5.6928 1.6605 8.7637
Hg In Tl Na
6 1 1 1
Cartesian
1.7271 -0.5032 8.7065
-2.6495 -0.4361 4.8575
0.1935 2.2974 9.1614
0.0552 -0.4802 3.1008
-1.5062 2.2984 3.5858
2.9087 2.2078 7.4226
0.1208 0.8974 6.1395
-2.6057 0.9647 7.8978
-2.4827 1.8621 14.0361
```


This record from the Alexandria database describes crystalline LiErZnRh at its relaxed geometry. The functional is GGA-PBE.

## Properties
Calculated volume = 17.2 Å³/atom
E = -17.0 eV per formula unit

Cell and atoms, written as POSCAR:
```
LiErZnRh
1.0
-0.8338 -4.3774 -1.1354
3.4701 -3.0046 -0.2765
0.4276 -3.3157 3.1574
Rh Zn Li Er
1 1 1 1
Cartesian
0.7660 -2.6744 0.4364
0.0000 0.0000 0.0000
2.2980 -8.0232 1.3091
1.5320 -5.3488 0.8728
```